Record 1
VASP calculation (PBE) on a relaxed structure of TcAu.

Output
**Spin magnetization**: 1.5 Bohr magnetons per cell
**N(E_F)**: 4.4 states/eV/cell
**ΔE to the lowest computed polymorph**: 501 meV per atom
**E_form**: 0.58 eV/atom

Cell: 4.534 4.534 4.534 Å, 60.00 60.00 60.00°
Each line ends with the local moment (μB).
Positions (direct):
Au 0.000 0.000 0.000  0.07
Au 0.750 0.750 0.750  0.07
Tc 0.250 0.250 0.250  0.65
Tc 0.500 0.500 0.500  0.65

---

Record 2
VASP calculation (PBE) on a relaxed structure of NaIrRu.

Output
**Spin magnetization**: 0.0 Bohr magnetons per cell
**N(E_F)**: 6.0 states/eV/cell
**ΔE to the lowest computed polymorph**: 268 meV per atom
**E_form**: 0.60 eV/atom

Cell: 4.445 4.445 5.720 Å, 90.00 90.00 120.00°
Positions (direct):
Ru 0.333 0.667 0.032
Ru 0.667 0.333 0.532
Ir 0.333 0.667 0.469
Ir 0.667 0.333 0.969
Na 0.000 0.000 0.748
Na 0.000 0.000 0.248

---

Record 3
VASP calculation (PBE) on a relaxed structure of LiAc3Ga2Pd6.

Output
**Spin magnetization**: 0.0 Bohr magnetons per cell
**N(E_F)**: 6.6 states/eV/cell
**E_form**: -0.66 eV/atom

Cell: 5.948 5.948 8.790 Å, 90.00 90.00 120.00°
Positions (direct):
Li 0.000 0.000 0.500
Ac 0.333 0.667 0.638
Ac 0.667 0.333 0.362
Ac 0.000 0.000 0.000
Ga 0.667 0.333 0.941
Ga 0.333 0.667 0.059
Pd 0.657 0.828 0.292
Pd 0.172 0.343 0.292
Pd 0.172 0.828 0.292
Pd 0.828 0.657 0.708
Pd 0.343 0.172 0.708
Pd 0.828 0.172 0.708

---

Record 4
VASP calculation (PBE) on a relaxed structure of LiMn2Co.

Output
**Spin magnetization**: 5.1 Bohr magnetons per cell
**N(E_F)**: 4.9 states/eV/cell
**ΔE to the lowest computed polymorph**: 109 meV per atom
**E_form**: 0.29 eV/atom

Cell: 2.710 2.710 6.741 Å, 90.00 90.00 90.00°
Each line ends with the local moment (μB).
Positions (direct):
Co 0.000 0.000 0.472  0.86
Li 0.500 0.500 0.727  -0.03
Mn 0.000 0.000 0.028  3.20
Mn 0.500 0.500 0.273  0.99

---

Record 5
VASP calculation (PBE) on a relaxed structure of K2InP.

Output
**Spin magnetization**: 0.0 Bohr magnetons per cell
**N(E_F)**: 1.4 states/eV/cell
**ΔE to the lowest computed polymorph**: 214 meV per atom
**E_form**: -0.05 eV/atom

Cell: 3.826 3.826 9.909 Å, 90.00 90.00 90.00°
Positions (direct):
In 0.500 0.500 0.673
K 0.000 0.000 0.914
K 0.500 0.500 0.345
P 0.000 0.000 0.569

---

Record 6
VASP calculation (PBE) on a relaxed structure of MgScPt2Rh.

Output
**Spin magnetization**: 0.0 Bohr magnetons per cell
**N(E_F)**: 1.3 states/eV/cell
**E_form**: 0.25 eV/atom

Cell: 4.832 4.599 4.832 Å, 90.00 90.00 90.00°
Positions (direct):
Sc 0.000 0.000 0.000
Mg 0.500 0.500 0.500
Rh 0.000 0.500 0.000
Pt 0.000 0.000 0.500
Pt 0.500 0.000 0.000